Below is a geometry-optimized Cs2ICl structure, with properties calculated at the GGA-PBEsol level.

- total magnetic moment (μB per cell) = 0.00
- formation energy (no corrections) (eV per formula unit) = -6.8
- space-group type = Fm-3m, No. 225
- VASP energy (eV/atom) = -3.109
- DOS at the Fermi energy (states/eV/cell) = 0.000
- V (Å³ per atom) = 40.6

abc: 8.660 8.660 8.660
angles: 90.00 90.00 90.00
Positions (direct):
Cs  0.250  0.250  0.250
Cs  0.250  0.250  0.750
Cs  0.250  0.750  0.250
Cs  0.250  0.750  0.750
Cs  0.750  0.250  0.250
Cs  0.750  0.250  0.750
Cs  0.750  0.750  0.250
Cs  0.750  0.750  0.750
I  0.000  0.000  0.000
I  0.000  0.500  0.500
I  0.500  0.000  0.500
I  0.500  0.500  0.000
Cl  0.000  0.000  0.500
Cl  0.000  0.500  0.000
Cl  0.500  0.000  0.000
Cl  0.500  0.500  0.500

Below is a geometry-optimized AcY3 structure, with properties calculated at the GGA-PBEsol level.

- total magnetic moment (μB per cell) = 0.00
- space-group type = I4/mmm, No. 139
- energy of formation from the pure elements (meV/atom) = 51
- VASP energy (eV/atom) = -6.191
- DOS at the Fermi energy (states/eV/cell) = 13.312
- V (Å³ per atom) = 33.2

abc: 5.145 5.145 10.027
angles: 90.00 90.00 90.00
Positions (direct):
Ac  0.000  0.000  0.000
Ac  0.500  0.500  0.500
Y  0.000  0.000  0.500
Y  0.000  0.500  0.250
Y  0.000  0.500  0.750
Y  0.500  0.000  0.250
Y  0.500  0.000  0.750
Y  0.500  0.500  0.000

Below is a geometry-optimized Ba3Hg structure, with properties calculated at the GGA-PBEsol level.

- offset from the most stable computed form (meV per atom) = 80
- total magnetic moment (μB per cell) = 0.00
- space-group type = P-6m2, No. 187
- energy of formation from the pure elements (meV/atom) = -202
- VASP energy (eV/atom) = -1.956
- DOS at the Fermi energy (states/eV/cell) = 4.670
- V (Å³ per atom) = 50.3

abc: 4.437 4.437 11.801
angles: 90.00 90.00 120.00
Positions (direct):
Ba  0.000  0.000  0.000
Ba  0.667  0.333  0.310
Ba  0.667  0.333  0.690
Hg  0.000  0.000  0.500

Below is a geometry-optimized Zn2NiIr structure, with properties calculated at the GGA-PBEsol level.

- total magnetic moment (μB per cell) = 0.00
- space-group type = Cm, No. 8
- energy of formation from the pure elements (meV/atom) = -164
- VASP energy (eV/atom) = -4.951
- DOS at the Fermi energy (states/eV/cell) = 5.854
- V (Å³ per atom) = 12.8

abc: 9.461 2.744 4.396
angles: 90.00 116.45 90.00
Positions (direct):
Zn  0.000  0.000  0.000
Zn  0.239  0.000  0.597
Zn  0.500  0.500  0.000
Zn  0.739  0.500  0.597
Ni  0.246  0.500  0.090
Ni  0.746  0.000  0.090
Ir  0.485  0.000  0.489
Ir  0.985  0.500  0.489

- The highest DOS at the Fermi energy belongs to which entry?
  AcY3

- Which value of DOS at the Fermi energy does entry 1 give?
  0.000 states/eV/cell

- total magnetic moment of number 3 (Ba3Hg)?
  0.00 μB per cell